Entry 1:
A plane-wave DFT calculation with PBE was carried out for crystalline LiTm8Ga2 at its relaxed geometry.

```
LiTm8Ga2
1.0
-2.3435 3.9516 1.9519
-4.6534 -4.0792 2.6711
7.2630 -1.4696 5.3127
Li Tm Ga
1 8 2
direct
0.5000 0.0000 0.0000
0.4064 0.5334 0.8129
0.6623 0.9614 0.3246
0.8033 0.7016 0.6066
0.9746 0.2359 0.9492
0.1967 0.2984 0.3934
0.3377 0.0386 0.6754
0.5936 0.4666 0.1871
0.0254 0.7641 0.0508
0.8072 0.2701 0.6145
0.1928 0.7299 0.3855
```

**Formation energy**: -0.17 eV per atom
**Symmetry**: C2/m
**Volume**: 26.1 A^3/atom

Entry 2:
A plane-wave DFT calculation with PBE was carried out for crystalline LiTmGa4 at its relaxed geometry.

```
LiTmGa4
1.0
3.8782 0.0000 1.8639
1.6768 5.0812 1.4778
-0.2772 0.1219 5.5434
Li Tm Ga
1 1 4
direct
0.0000 0.5000 0.0000
0.0000 0.0000 0.5000
0.6654 0.5420 0.6271
0.3346 0.4580 0.3729
0.3345 0.8726 0.9584
0.6655 0.1274 0.0416
```

**Formation energy**: -0.44 eV per atom
**Symmetry**: Immm
**Volume**: 18.6 A^3/atom

| no. | theoretical density (g cm⁻³) |
| --- | --- |
| 1 | 8.66 |
| 2 | 6.77 |